YAlSi2: optimized geometry, GGA-PBE.

The crystal system is trigonal. The calculation puts the raw formation energy at 0.030 eV/atom. The electronic total energy comes out at -5.2335 eV per atom.

The space group is R-3m (No. 166, hexagonal axes) and the conventional cell measures 3.2740, 3.2740 and 25.2715 Å, with angles of 90.00, 90.00 and 120.00 degrees. The asymmetric unit holds Y at (0.0000, 0.0000, 0.0000), Al at (0.0000, 0.0000, 0.5000) and Si at (0.0000, 0.0000, 0.2402).

***

YZr2AlSi: optimized geometry, GGA-PBE.

The crystal system is tetragonal. The calculation puts the raw formation energy at 0.004 eV/atom. The electronic total energy comes out at -6.5412 eV per atom.

The space group is P4/mmm (No. 123) and the conventional cell measures 4.9782, 4.9782 and 5.1855 Å, with angles of 90.00, 90.00 and 90.00 degrees. The asymmetric unit holds Y at (0.0000, 0.0000, 0.0000), Zr at (0.0000, 0.5000, 0.5000), Al at (0.5000, 0.5000, 0.0000) and Si at (0.0000, 0.0000, 0.5000).

***

Yb2AlSi2: optimized geometry, GGA-PBE.

The crystal system is tetragonal. The calculation puts the raw formation energy at -0.573 eV/atom. The electronic total energy comes out at -4.1009 eV per atom.

The space group is P4/mbm (No. 127) and the conventional cell measures 6.8035, 6.8035 and 4.4096 Å, with angles of 90.00, 90.00 and 90.00 degrees. The asymmetric unit holds Yb at (0.1751, 0.3249, 0.0000), Al at (0.0000, 0.0000, 0.5000) and Si at (0.1242, 0.6242, 0.5000).

***

YbAl2Si2: optimized geometry, GGA-PBE.

The crystal system is trigonal. The calculation puts the raw formation energy at -0.354 eV/atom. The electronic total energy comes out at -4.3257 eV per atom.

The space group is P-3m1 (No. 164) and the conventional cell measures 4.1569, 4.1569 and 6.8078 Å, with angles of 90.00, 90.00 and 120.00 degrees. The asymmetric unit holds Yb at (0.0000, 0.0000, 0.0000), Al at (0.3333, 0.6667, 0.6367) and Si at (0.3333, 0.6667, 0.2571).

***

Al2ZnSi: optimized geometry, GGA-PBE.

The crystal system is monoclinic. The calculation puts the raw formation energy at 0.130 eV/atom. The electronic total energy comes out at -3.4155 eV per atom.

The space group is P2/m (No. 10) and the conventional cell measures 2.7307, 3.9745 and 5.7640 Å, with angles of 90.00, 91.11 and 90.00 degrees. The asymmetric unit holds Al at (0.0046, 0.0000, 0.2507), Zn at (0.5000, 0.5000, 0.0000) and Si at (0.5000, 0.5000, 0.5000).

***

AlZn2Si: optimized geometry, GGA-PBE.

The crystal system is orthorhombic. The calculation puts the raw formation energy at 0.165 eV/atom. The electronic total energy comes out at -2.7638 eV per atom.

The space group is Cmmm (No. 65) and the conventional cell measures 5.5400, 8.3116 and 2.7103 Å, with angles of 90.00, 90.00 and 90.00 degrees. The asymmetric unit holds Al at (0.0000, 0.0000, 0.0000), Zn at (0.2500, 0.2500, 0.5000) and Si at (0.0000, 0.5000, 0.0000).

***

Al2ZnSi: optimized geometry, GGA-PBE.

The crystal system is orthorhombic. The calculation puts the raw formation energy at 0.175 eV/atom. The electronic total energy comes out at -3.3701 eV per atom.

The space group is Cmmm (No. 65) and the conventional cell measures 2.6162, 5.0434 and 9.8971 Å, with angles of 90.00, 90.00 and 90.00 degrees. The asymmetric unit holds Al at (0.0000, 0.0000, 0.2448), Zn at (0.0000, 0.5000, 0.5000) and Si at (0.0000, 0.5000, 0.0000).

***

Al12Zn3Si5: optimized geometry, GGA-PBE.

The crystal system is cubic. The calculation puts the raw formation energy at 0.206 eV/atom. The electronic total energy comes out at -3.5863 eV per atom.

The space group is Ia-3d (No. 230) and the conventional cell measures 14.7478, 14.7478 and 14.7478 Å, with angles of 90.00, 90.00 and 90.00 degrees. The asymmetric unit holds Al at (0.0219, 0.0813, 0.6501), Zn at (0.0000, 0.2500, 0.1250), Si at (0.0000, 0.0000, 0.0000) and Si at (0.0000, 0.2500, 0.3750).

***

Al2ZnSi: optimized geometry, GGA-PBE.

The crystal system is orthorhombic. The calculation puts the raw formation energy at 0.133 eV/atom. The electronic total energy comes out at -3.4126 eV per atom.

The space group is Pmmm (No. 47) and the conventional cell measures 3.9129, 3.9865 and 4.0428 Å, with angles of 90.00, 90.00 and 90.00 degrees. The asymmetric unit holds Al at (0.0000, 0.0000, 0.0000), Al at (0.0000, 0.5000, 0.5000), Zn at (0.5000, 0.0000, 0.5000) and Si at (0.5000, 0.5000, 0.0000).

***

Al2ZnSi: optimized geometry, GGA-PBE.

The crystal system is orthorhombic. The calculation puts the raw formation energy at 0.182 eV/atom. The electronic total energy comes out at -3.3633 eV per atom.

The space group is Immm (No. 71) and the conventional cell measures 2.6728, 4.9018 and 10.0893 Å, with angles of 90.00, 90.00 and 90.00 degrees. The asymmetric unit holds Al at (0.0000, 0.0000, 0.2323), Zn at (0.0000, 0.5000, 0.0000) and Si at (0.0000, 0.5000, 0.5000).

***

Al2ZnSi: optimized geometry, GGA-PBE.

The crystal system is cubic. The calculation puts the raw formation energy at 0.266 eV/atom. The electronic total energy comes out at -3.2799 eV per atom.

The space group is F-43m (No. 216) and the conventional cell measures 6.4207, 6.4207 and 6.4207 Å, with angles of 90.00, 90.00 and 90.00 degrees. The asymmetric unit holds Al at (0.0000, 0.0000, 0.0000), Al at (0.2500, 0.2500, 0.2500), Zn at (0.2500, 0.2500, 0.7500) and Si at (0.0000, 0.0000, 0.5000).

***

AlZnSi4: optimized geometry, GGA-PBE.

The crystal system is cubic. The calculation puts the raw formation energy at 0.447 eV/atom. The electronic total energy comes out at -4.0047 eV per atom.

The space group is F-43m (No. 216) and the conventional cell measures 7.2275, 7.2275 and 7.2275 Å, with angles of 90.00, 90.00 and 90.00 degrees. The asymmetric unit holds Al at (0.0000, 0.0000, 0.0000), Zn at (0.2500, 0.2500, 0.2500) and Si at (0.1249, 0.1249, 0.6249).

***

Question: Look up the raw formation energy of the fourth one.
Answer: -0.354 eV/atom

***

Question: What is the formula in the ninth record?
Answer: Al2ZnSi

***

Question: Which of these has the highest raw formation energy?
Answer: AlZnSi4